# PrSmCu10, optimized geometry, DFT PBE
data_PrSmCu10
_chemical_formula_sum 'Pr1 Sm1 Cu10'
_cell_length_a 4.120
_cell_length_b 5.132
_cell_length_c 8.814
_cell_angle_alpha 90.00
_cell_angle_beta 90.00
_cell_angle_gamma 90.00
_space_group_name_H-M_alt 'P m m m'
_space_group_IT_number 47
loop_
_space_group_symop_operation_xyz
'x,y,z'
'-x,-y,-z'
'-x,-y,z'
'x,y,-z'
'x,-y,-z'
'-x,y,z'
'-x,y,-z'
'x,-y,z'
loop_
_atom_site_label
_atom_site_fract_x
_atom_site_fract_y
_atom_site_fract_z
Pr1 0.000 0.000 0.000
Sm1 0.000 0.500 0.500
Cu1 0.000 0.000 0.336
Cu2 0.000 0.500 0.169
Cu3 0.500 0.000 0.500
Cu4 0.500 0.251 0.252
Cu5 0.500 0.500 0.000
# - Fermi-level density of states: 0.587 states/eV/atom
# - Total energy: -4.3698 eV per atom
# - Crystal system: orthorhombic
# - Spin magnetization: 0.0 μB per cell
# - Energy of formation from the pure elements: -165 meV per atom